The following is a GGA-PBEsol calculation of a geometry-optimized ScTiCu3 structure, from Alexandria via LeMat-Bulk.

Cell: 4.484 4.484 4.484 Å, 90.00 90.00 90.00°
Atoms (fractional coordinates):
1 Sc 0.000 0.000 0.000
2 Ti 0.500 0.500 0.500
3 Cu 0.000 0.000 0.500
4 Cu 0.000 0.500 0.000
5 Cu 0.500 0.000 0.000

Calculated values
Its space group is No. 221. As for the energy of formation from the pure elements: 1.105 eV/atom.